Na8Ni9O18 | Alexandria | GGA+U | relaxed; magnetic moment = 0.229 μB/atom; space-group type = No. 2; total DFT energy (no corrections) = -4.579 eV/atom; calculated volume = 10.389 Å³ per atom
1.0
-2.775 5.101 4.973
-7.006 1.241 -0.714
-1.322 -3.030 7.403
O Ni Na
18 9 8
Direct
0.251 0.046 0.721
0.699 0.905 0.603
0.374 0.236 0.931
0.965 0.431 0.732
0.749 0.954 0.279
0.301 0.095 0.397
0.443 0.279 0.586
0.810 0.140 0.825
0.035 0.569 0.268
0.138 0.803 0.500
0.105 0.613 0.928
0.895 0.387 0.072
0.526 0.532 0.835
0.862 0.197 0.500
0.557 0.721 0.414
0.626 0.764 0.069
0.190 0.860 0.175
0.474 0.468 0.165
0.831 0.667 0.167
0.281 0.550 0.052
0.383 0.782 0.285
0.947 0.882 0.388
0.617 0.218 0.715
0.053 0.118 0.612
0.719 0.450 0.948
0.169 0.333 0.833
0.500 0.000 0.500
0.779 0.552 0.555
0.221 0.448 0.445
0.320 0.684 0.680
0.575 0.110 0.103
0.113 0.212 0.210
0.887 0.788 0.790
0.680 0.316 0.320
0.425 0.890 0.897